# 1
A relaxed structure of YAgRu2. Source: Alexandria via LeMat-Bulk, functional GGA-PBE.

Computed properties:
ΔE to the lowest computed polymorph: 115.5 meV per atom
Formation energy: 0.2338 eV/atom

Cell lengths 6.595, 6.595, 6.595 Å; angles 90.00, 90.00, 90.00 degrees
Space group F-43m (No. 216)
Unique sites:
Y: 0.000 0.000 0.000 x4
Ag: 0.250 0.250 0.750 x4
Ru: 0.000 0.000 0.500 x4
Ru: 0.250 0.250 0.250 x4

***

# 2
A relaxed structure of YAg2Ru. Source: Alexandria via LeMat-Bulk, functional GGA-PBE.

Computed properties:
ΔE to the lowest computed polymorph: 210.5 meV per atom
Formation energy: 0.1584 eV/atom

Cell lengths 3.692, 3.692, 5.696 Å; angles 90.00, 90.00, 90.00 degrees
Space group P4/mmm (No. 123)
Unique sites:
Y: 0.000 0.000 0.000 x1
Ag: 0.500 0.500 0.266 x2
Ru: 0.000 0.000 0.500 x1

***

# 3
A relaxed structure of Y4AgRu2. Source: Alexandria via LeMat-Bulk, functional GGA-PBE.

Computed properties:
Formation energy: -0.3088 eV/atom

Cell lengths 4.9100, 4.9100, 23.6113 Å; angles 90.00, 90.00, 120.00 degrees
Space group R-3m (No. 166, hexagonal axes)
Unique sites:
Y: 0.0000 0.0000 0.1196 x6
Y: 0.0000 0.0000 0.3707 x6
Ag: 0.0000 0.0000 0.5000 x3
Ru: 0.0000 0.0000 0.2479 x6

***

# 4
A relaxed structure of YAgRu2. Source: Alexandria via LeMat-Bulk, functional GGA-PBE.

Computed properties:
ΔE to the lowest computed polymorph: 312.9 meV per atom
Formation energy: 0.4312 eV/atom

Cell lengths 4.123, 4.123, 19.388 Å; angles 90.00, 90.00, 90.00 degrees
Space group I-42d (No. 122)
Unique sites:
Y: 0.000 0.000 0.000 x4
Ag: 0.000 0.000 0.500 x4
Ru: 0.152 0.250 0.625 x8

***

# 5
A relaxed structure of YAg2Ru. Source: Alexandria via LeMat-Bulk, functional GGA-PBE.

Computed properties:
ΔE to the lowest computed polymorph: 186.7 meV per atom
Formation energy: 0.1346 eV/atom

Cell lengths 3.143, 4.890, 5.231 Å; angles 90.00, 103.52, 90.00 degrees
Space group P2/m (No. 10)
Unique sites:
Y: 0.000 0.000 0.000 x1
Ag: 0.331 0.500 0.727 x2
Ru: 0.500 0.000 0.500 x1

***

# 6
A relaxed structure of YAgRu2. Source: Alexandria via LeMat-Bulk, functional GGA-PBE.

Computed properties:
ΔE to the lowest computed polymorph: 107.1 meV per atom
Formation energy: 0.2254 eV/atom

Cell lengths 4.735, 3.143, 4.894 Å; angles 90.00, 105.15, 90.00 degrees
Space group P2/m (No. 10)
Unique sites:
Y: 0.000 0.000 0.000 x1
Ag: 0.000 0.500 0.500 x1
Ru: 0.500 0.000 0.500 x1
Ru: 0.500 0.500 0.000 x1

***

# 7
A relaxed structure of YAgRu2. Source: Alexandria via LeMat-Bulk, functional GGA-PBE.

Computed properties:
ΔE to the lowest computed polymorph: 452.4 meV per atom
Formation energy: 0.5708 eV/atom

Cell lengths 3.0429, 3.0429, 27.0881 Å; angles 90.00, 90.00, 120.00 degrees
Space group R-3m (No. 166, hexagonal axes)
Unique sites:
Y: 0.0000 0.0000 0.0000 x3
Ag: 0.0000 0.0000 0.5000 x3
Ru: 0.0000 0.0000 0.2500 x6

***

# 8
A relaxed structure of YAg2Ru. Source: Alexandria via LeMat-Bulk, functional GGA-PBE.

Computed properties:
ΔE to the lowest computed polymorph: 33.3 meV per atom
Formation energy: -0.0187 eV/atom

Cell lengths 10.799, 3.473, 4.451 Å; angles 90.00, 113.87, 90.00 degrees
Space group C2/m (No. 12)
Unique sites:
Y: 0.000 0.000 0.000 x2
Ag: 0.234 0.000 0.734 x4
Ru: 0.000 0.500 0.500 x2

***

# 9
A relaxed structure of YAgRu2. Source: Alexandria via LeMat-Bulk, functional GGA-PBE.

Computed properties:
ΔE to the lowest computed polymorph: 374.3 meV per atom
Formation energy: 0.4926 eV/atom

Cell lengths 3.286, 4.791, 8.990 Å; angles 90.00, 90.00, 90.00 degrees
Space group Cmmm (No. 65)
Unique sites:
Y: 0.000 0.000 0.000 x2
Ag: 0.000 0.000 0.500 x2
Ru: 0.000 0.500 0.249 x4

***

# 10
A relaxed structure of YAg3Ru. Source: Alexandria via LeMat-Bulk, functional GGA-PBE.

Computed properties:
ΔE to the lowest computed polymorph: 923.5 meV per atom
Formation energy: 1.6914 eV/atom

Cell lengths 5.253, 5.253, 5.253 Å; angles 90.00, 90.00, 90.00 degrees
Space group Pm-3m (No. 221)
Unique sites:
Y: 0.000 0.000 0.000 x1
Ag: 0.000 0.000 0.500 x3
Ru: 0.500 0.500 0.500 x1

***

# 11
A relaxed structure of YAgRu. Source: Alexandria via LeMat-Bulk, functional GGA-PBE.

Computed properties:
ΔE to the lowest computed polymorph: 58.2 meV per atom
Formation energy: 0.0826 eV/atom

Cell lengths 4.5425, 4.5425, 3.4620 Å; angles 90.00, 90.00, 120.00 degrees
Space group P-6m2 (No. 187)
Unique sites:
Y: 0.0000 0.0000 0.0000 x1
Ag: 0.6667 0.3333 0.5000 x1
Ru: 0.3333 0.6667 0.5000 x1

***

# 12
A relaxed structure of YAg2Ru. Source: Alexandria via LeMat-Bulk, functional GGA-PBE.

Computed properties:
ΔE to the lowest computed polymorph: 76.5 meV per atom
Formation energy: 0.0245 eV/atom

Cell lengths 3.516, 3.516, 6.254 Å; angles 90.00, 90.00, 90.00 degrees
Space group P4mm (No. 99)
Unique sites:
Y: 0.000 0.000 0.000 x1
Ag: 0.000 0.000 0.523 x1
Ag: 0.500 0.500 0.301 x1
Ru: 0.500 0.500 0.767 x1

***

# 13
A relaxed structure of Y3Ag2Ru. Source: Alexandria via LeMat-Bulk, functional GGA-PBE.

Computed properties:
Formation energy: -0.3602 eV/atom

Cell lengths 3.516, 3.516, 11.012 Å; angles 90.00, 90.00, 90.00 degrees
Space group P4/mmm (No. 123)
Unique sites:
Y: 0.000 0.000 0.000 x1
Y: 0.000 0.000 0.350 x2
Ag: 0.500 0.500 0.171 x2
Ru: 0.500 0.500 0.500 x1

***

# 14
A relaxed structure of YAgRu. Source: Alexandria via LeMat-Bulk, functional GGA-PBE.

Computed properties:
ΔE to the lowest computed polymorph: 637.9 meV per atom
Formation energy: 0.6623 eV/atom

Cell lengths 6.514, 6.514, 6.514 Å; angles 90.00, 90.00, 90.00 degrees
Space group F-43m (No. 216)
Unique sites:
Y: 0.000 0.000 0.000 x4
Ag: 0.250 0.250 0.250 x4
Ru: 0.250 0.250 0.750 x4

***

# 15
A relaxed structure of Y5Ag4Ru. Source: Alexandria via LeMat-Bulk, functional GGA-PBE.

Computed properties:
Formation energy: -0.3433 eV/atom

Cell lengths 3.554, 3.554, 18.410 Å; angles 90.00, 90.00, 90.00 degrees
Space group P4/mmm (No. 123)
Unique sites:
Y: 0.000 0.000 0.000 x1
Y: 0.000 0.000 0.204 x2
Y: 0.000 0.000 0.411 x2
Ag: 0.500 0.500 0.101 x2
Ag: 0.500 0.500 0.305 x2
Ru: 0.500 0.500 0.500 x1

***

# 16
A relaxed structure of YAgRu. Source: Alexandria via LeMat-Bulk, functional GGA-PBE.

Computed properties:
ΔE to the lowest computed polymorph: 295.9 meV per atom
Formation energy: 0.3203 eV/atom

Cell lengths 6.476, 6.476, 6.476 Å; angles 90.00, 90.00, 90.00 degrees
Space group F-43m (No. 216)
Unique sites:
Y: 0.000 0.000 0.000 x4
Ag: 0.000 0.000 0.500 x4
Ru: 0.250 0.250 0.250 x4

***

# 17
A relaxed structure of YZnAgRu. Source: Alexandria via LeMat-Bulk, functional GGA-PBE.

Computed properties:
Formation energy: -0.0857 eV/atom

Cell lengths 6.636, 6.636, 6.636 Å; angles 90.00, 90.00, 90.00 degrees
Space group F-43m (No. 216)
Unique sites:
Y: 0.000 0.000 0.000 x4
Zn: 0.000 0.000 0.500 x4
Ag: 0.250 0.250 0.750 x4
Ru: 0.250 0.250 0.250 x4

***

# 18
A relaxed structure of YZrAgRu. Source: Alexandria via LeMat-Bulk, functional GGA-PBE.

Computed properties:
Formation energy: -0.2496 eV/atom

Cell lengths 6.873, 6.873, 6.873 Å; angles 90.00, 90.00, 90.00 degrees
Space group F-43m (No. 216)
Unique sites:
Y: 0.000 0.000 0.000 x4
Zr: 0.000 0.000 0.500 x4
Ag: 0.250 0.250 0.250 x4
Ru: 0.250 0.250 0.750 x4

***

# 19
A relaxed structure of Zn2AgRu. Source: Alexandria via LeMat-Bulk, functional GGA-PBE.

Computed properties:
ΔE to the lowest computed polymorph: 48.2 meV per atom
Formation energy: 0.0171 eV/atom

Cell lengths 2.8101, 2.8101, 26.4398 Å; angles 90.00, 90.00, 120.00 degrees
Space group R-3m (No. 166, hexagonal axes)
Unique sites:
Zn: 0.0000 0.0000 0.2462 x6
Ag: 0.0000 0.0000 0.0000 x3
Ru: 0.0000 0.0000 0.5000 x3

***

# 20
A relaxed structure of ZnAg4Ru. Source: Alexandria via LeMat-Bulk, functional GGA-PBE.

Computed properties:
Formation energy: 0.5902 eV/atom

Cell lengths 7.559, 7.559, 7.559 Å; angles 90.00, 90.00, 90.00 degrees
Space group F-43m (No. 216)
Unique sites:
Zn: 0.000 0.000 0.000 x4
Ag: 0.125 0.125 0.625 x16
Ru: 0.250 0.250 0.250 x4

***

# 21
A relaxed structure of Zn2AgRu. Source: Alexandria via LeMat-Bulk, functional GGA-PBE.

Computed properties:
ΔE to the lowest computed polymorph: 138.7 meV per atom
Formation energy: 0.1076 eV/atom

Cell lengths 2.944, 4.420, 9.212 Å; angles 90.00, 90.00, 90.00 degrees
Space group Imm2 (No. 44)
Unique sites:
Zn: 0.000 0.000 0.000 x2
Zn: 0.000 0.500 0.257 x2
Ag: 0.000 0.500 0.751 x2
Ru: 0.000 0.000 0.518 x2

***

# 22
A relaxed structure of Zn4AgRu. Source: Alexandria via LeMat-Bulk, functional GGA-PBE.

Computed properties:
Formation energy: 0.1083 eV/atom

Cell lengths 7.050, 7.050, 7.050 Å; angles 90.00, 90.00, 90.00 degrees
Space group F-43m (No. 216)
Unique sites:
Zn: 0.124 0.124 0.376 x16
Ag: 0.000 0.000 0.000 x4
Ru: 0.250 0.250 0.750 x4

***

# 23
A relaxed structure of Zn2AgRu. Source: Alexandria via LeMat-Bulk, functional GGA-PBE.

Computed properties:
ΔE to the lowest computed polymorph: 241.3 meV per atom
Formation energy: 0.2103 eV/atom

Cell lengths 6.221, 6.221, 6.221 Å; angles 90.00, 90.00, 90.00 degrees
Space group F-43m (No. 216)
Unique sites:
Zn: 0.000 0.000 0.000 x4
Zn: 0.250 0.250 0.250 x4
Ag: 0.250 0.250 0.750 x4
Ru: 0.000 0.000 0.500 x4

***

# 24
A relaxed structure of Zn2AgRu. Source: Alexandria via LeMat-Bulk, functional GGA-PBE.

Computed properties:
ΔE to the lowest computed polymorph: 187.5 meV per atom
Formation energy: 0.1565 eV/atom

Cell lengths 2.7791, 2.7791, 27.5680 Å; angles 90.00, 90.00, 120.00 degrees
Space group R3m (No. 160, hexagonal axes)
Unique sites:
Zn: 0.0000 0.0000 0.0000 x3
Zn: 0.0000 0.0000 0.2474 x3
Ag: 0.0000 0.0000 0.4965 x3
Ru: 0.0000 0.0000 0.7424 x3

***

# 25
A relaxed structure of Zn2AgRu. Source: Alexandria via LeMat-Bulk, functional GGA-PBE.

Computed properties:
ΔE to the lowest computed polymorph: 33.5 meV per atom
Formation energy: 0.0024 eV/atom

Cell lengths 3.145, 3.145, 6.047 Å; angles 90.00, 90.00, 90.00 degrees
Space group P4/mmm (No. 123)
Unique sites:
Zn: 0.000 0.000 0.225 x2
Ag: 0.500 0.500 0.500 x1
Ru: 0.500 0.500 0.000 x1

***

# 26
A relaxed structure of Zn2AgRu. Source: Alexandria via LeMat-Bulk, functional GGA-PBE.

Computed properties:
ΔE to the lowest computed polymorph: 185.8 meV per atom
Formation energy: 0.1547 eV/atom

Cell lengths 3.808, 3.808, 8.314 Å; angles 90.00, 90.00, 90.00 degrees
Space group I-4m2 (No. 119)
Unique sites:
Zn: 0.000 0.000 0.000 x2
Zn: 0.000 0.500 0.250 x2
Ag: 0.000 0.500 0.750 x2
Ru: 0.000 0.000 0.500 x2

***

# 27
A relaxed structure of Zn2AgRu. Source: Alexandria via LeMat-Bulk, functional GGA-PBE.

Computed properties:
ΔE to the lowest computed polymorph: 0.0 meV per atom
Formation energy: -0.0311 eV/atom

Cell lengths 4.206, 4.206, 3.319 Å; angles 90.00, 90.00, 90.00 degrees
Space group P4/mmm (No. 123)
Unique sites:
Zn: 0.000 0.500 0.000 x2
Ag: 0.000 0.000 0.500 x1
Ru: 0.500 0.500 0.500 x1

***

# 28
A relaxed structure of Zn2AgRu. Source: Alexandria via LeMat-Bulk, functional GGA-PBE.

Computed properties:
ΔE to the lowest computed polymorph: 58.2 meV per atom
Formation energy: 0.0271 eV/atom

Cell lengths 6.168, 6.168, 6.168 Å; angles 90.00, 90.00, 90.00 degrees
Space group Fm-3m (No. 225)
Unique sites:
Zn: 0.250 0.250 0.250 x8
Ag: 0.000 0.000 0.000 x4
Ru: 0.000 0.000 0.500 x4

***

# 29
A relaxed structure of Zn2AgRu. Source: Alexandria via LeMat-Bulk, functional GGA-PBE.

Computed properties:
ΔE to the lowest computed polymorph: 110.4 meV per atom
Formation energy: 0.0793 eV/atom

Cell lengths 3.072, 4.544, 8.707 Å; angles 90.00, 90.00, 90.00 degrees
Space group Cmmm (No. 65)
Unique sites:
Zn: 0.000 0.000 0.239 x4
Ag: 0.000 0.500 0.500 x2
Ru: 0.000 0.500 0.000 x2

***

# 30
A relaxed structure of Zn2AgRu. Source: Alexandria via LeMat-Bulk, functional GGA-PBE.

Computed properties:
ΔE to the lowest computed polymorph: 237.5 meV per atom
Formation energy: 0.2065 eV/atom

Cell lengths 2.886, 4.663, 9.111 Å; angles 90.00, 90.00, 90.00 degrees
Space group Cmm2 (No. 35)
Unique sites:
Zn: 0.000 0.000 0.000 x2
Zn: 0.000 0.500 0.244 x2
Ag: 0.000 0.500 0.746 x2
Ru: 0.000 0.000 0.478 x2